{"formula": "Li2ZnNi", "functional": "GGA-PBEsol", "state": "optimized geometry", "formation_enthalpy_0k_ev_per_atom": -0.075, "space_group": "P2/m, No. 10", "dft_energy_ev_per_cell": -12.0, "magmom_total_mub_per_cell": 0.000, "mass_density_g_cm3": 4.67, "cell": [[2.563, 0.000, 0.000], [0.000, 4.328, 0.000], [-0.410, 0.000, 4.426]], "species": ["Li", "Li", "Zn", "Ni"], "frac_coords": [[0.235, 0.000, 0.262], [0.765, 0.000, 0.738], [0.500, 0.500, 0.000], [0.000, 0.500, 0.500]]}

***

{"formula": "NaV2O4", "functional": "GGA-PBEsol", "state": "optimized geometry", "formation_energy_uncorrected_ev_per_atom": -2.183, "space_group": "I4_1/amd, No. 141", "relative_energy_ev_per_atom": 0.105, "dft_energy_ev_per_cell": -113.9, "magmom_total_mub_per_cell": 5.790, "mass_density_g_cm3": 4.08, "cell": [[-2.987, 2.987, 4.314], [2.987, -2.987, 4.314], [2.987, 2.987, -4.314]], "species": ["Na", "Na", "V", "V", "V", "V", "O", "O", "O", "O", "O", "O", "O", "O"], "frac_coords": [[0.375, 0.625, 0.750], [0.625, 0.375, 0.250], [0.000, 0.000, 0.000], [0.000, 0.000, 0.500], [0.000, 0.500, 0.000], [0.500, 0.000, 0.500], [0.192, 0.228, 0.963], [0.228, 0.192, 0.463], [0.228, 0.765, 0.037], [0.235, 0.772, 0.463], [0.765, 0.228, 0.537], [0.772, 0.235, 0.963], [0.772, 0.808, 0.537], [0.808, 0.772, 0.037]]}

***

{"formula": "LiGeRu2Au", "functional": "GGA-PBEsol", "state": "optimized geometry", "formation_enthalpy_0k_ev_per_atom": 0.936, "space_group": "P4/mmm, No. 123", "dft_energy_ev_per_cell": -26.5, "magmom_total_mub_per_cell": 2.036, "mass_density_g_cm3": 8.18, "cell": [[4.541, 0.000, 0.000], [0.000, 4.541, 0.000], [0.000, 0.000, 4.715]], "species": ["Li", "Ge", "Ru", "Ru", "Au"], "frac_coords": [[0.000, 0.000, 0.000], [0.500, 0.500, 0.500], [0.000, 0.500, 0.500], [0.500, 0.000, 0.500], [0.500, 0.500, 0.000]]}

***

{"formula": "LaSc2Hg", "functional": "GGA-PBEsol", "state": "optimized geometry", "formation_enthalpy_0k_ev_per_atom": -0.245, "space_group": "P4/mmm, No. 123", "dft_energy_ev_per_cell": -20.1, "magmom_total_mub_per_cell": 0.001, "mass_density_g_cm3": 7.38, "cell": [[3.496, 0.000, 0.000], [0.000, 3.496, 0.000], [0.000, 0.000, 7.901]], "species": ["La", "Sc", "Sc", "Hg"], "frac_coords": [[0.000, 0.000, 0.000], [0.500, 0.500, 0.287], [0.500, 0.500, 0.713], [0.000, 0.000, 0.500]]}

***

{"formula": "Ta3CdSi", "functional": "GGA-PBEsol", "state": "optimized geometry", "formation_energy_uncorrected_ev_per_atom": 0.812, "space_group": "Pm-3m, No. 221", "dft_energy_ev_per_cell": -40.5, "magmom_total_mub_per_cell": 0.003, "mass_density_g_cm3": 11.45, "cell": [[4.628, 0.000, 0.000], [0.000, 4.628, 0.000], [0.000, 0.000, 4.628]], "species": ["Ta", "Ta", "Ta", "Cd", "Si"], "frac_coords": [[0.000, 0.000, 0.500], [0.000, 0.500, 0.000], [0.500, 0.000, 0.000], [0.500, 0.500, 0.500], [0.000, 0.000, 0.000]]}

***

{"formula": "KSi2Cl", "functional": "GGA-PBEsol", "state": "optimized geometry", "formation_energy_uncorrected_ev_per_atom": 0.600, "space_group": "P4/mmm, No. 123", "relative_energy_ev_per_atom": 0.975, "dft_energy_ev_per_cell": -12.2, "magmom_total_mub_per_cell": 0.000, "mass_density_g_cm3": 2.66, "cell": [[2.983, 0.000, 0.000], [0.000, 2.983, 0.000], [0.000, 0.000, 9.156]], "species": ["K", "Si", "Si", "Cl"], "frac_coords": [[0.000, 0.000, 0.000], [0.500, 0.500, 0.288], [0.500, 0.500, 0.712], [0.000, 0.000, 0.500]]}

***

{"formula": "NiP3Au", "functional": "GGA-PBEsol", "state": "optimized geometry", "formation_enthalpy_0k_ev_per_atom": 1.539, "space_group": "Pm-3m, No. 221", "dft_energy_ev_per_cell": -19.8, "magmom_total_mub_per_cell": 0.244, "mass_density_g_cm3": 5.54, "cell": [[4.709, 0.000, 0.000], [0.000, 4.709, 0.000], [0.000, 0.000, 4.709]], "species": ["Ni", "P", "P", "P", "Au"], "frac_coords": [[0.000, 0.000, 0.000], [0.000, 0.500, 0.500], [0.500, 0.000, 0.500], [0.500, 0.500, 0.000], [0.500, 0.500, 0.500]]}

***

{"formula": "Hg2IrRuPb", "functional": "GGA-PBEsol", "state": "optimized geometry", "formation_enthalpy_0k_ev_per_atom": 1.298, "space_group": "P4/mmm, No. 123", "dft_energy_ev_per_cell": -18.6, "magmom_total_mub_per_cell": 2.776, "mass_density_g_cm3": 11.39, "cell": [[5.108, 0.000, 0.000], [0.000, 5.108, 0.000], [0.000, 0.000, 5.038]], "species": ["Hg", "Hg", "Ir", "Ru", "Pb"], "frac_coords": [[0.000, 0.500, 0.000], [0.500, 0.000, 0.000], [0.000, 0.000, 0.000], [0.500, 0.500, 0.500], [0.000, 0.000, 0.500]]}

***

{"formula": "Ba4TiN4", "functional": "GGA-PBEsol", "state": "optimized geometry", "formation_energy_uncorrected_ev_per_atom": -0.894, "space_group": "P-1, No. 2", "dft_energy_ev_per_cell": -118.1, "magmom_total_mub_per_cell": 0.000, "mass_density_g_cm3": 5.76, "cell": [[6.675, 0.000, 0.000], [2.740, 6.170, 0.000], [1.824, 2.440, 9.152]], "species": ["Ba", "Ba", "Ba", "Ba", "Ba", "Ba", "Ba", "Ba", "Ti", "Ti", "N", "N", "N", "N", "N", "N", "N", "N"], "frac_coords": [[0.207, 0.477, 0.122], [0.233, 0.922, 0.345], [0.251, 0.269, 0.540], [0.290, 0.995, 0.938], [0.710, 0.005, 0.062], [0.749, 0.731, 0.460], [0.767, 0.078, 0.655], [0.793, 0.523, 0.878], [0.270, 0.663, 0.744], [0.730, 0.337, 0.256], [0.040, 0.820, 0.873], [0.099, 0.686, 0.591], [0.429, 0.362, 0.863], [0.466, 0.828, 0.683], [0.534, 0.172, 0.317], [0.571, 0.638, 0.137], [0.901, 0.314, 0.409], [0.960, 0.180, 0.127]]}

***

{"formula": "SnBi", "functional": "GGA-PBEsol", "state": "optimized geometry", "formation_enthalpy_0k_ev_per_atom": 0.011, "space_group": "Cmce, No. 64", "dft_energy_ev_per_cell": -34.1, "magmom_total_mub_per_cell": 0.000, "mass_density_g_cm3": 9.53, "cell": [[5.535, -3.189, 0.000], [5.535, 3.189, 0.000], [0.000, 0.000, 6.473]], "species": ["Sn", "Sn", "Sn", "Sn", "Bi", "Bi", "Bi", "Bi"], "frac_coords": [[0.165, 0.835, 0.827], [0.335, 0.665, 0.327], [0.665, 0.335, 0.673], [0.835, 0.165, 0.173], [0.207, 0.207, 0.500], [0.293, 0.293, 0.000], [0.707, 0.707, 0.000], [0.793, 0.793, 0.500]]}

***

{"formula": "AlPRh2", "functional": "GGA-PBEsol", "state": "optimized geometry", "formation_enthalpy_0k_ev_per_atom": -0.130, "space_group": "F-43m, No. 216", "relative_energy_ev_per_atom": 0.217, "dft_energy_ev_per_cell": -26.7, "magmom_total_mub_per_cell": 0.000, "mass_density_g_cm3": 7.99, "cell": [[0.000, 3.016, 3.016], [3.016, 0.000, 3.016], [3.016, 3.016, 0.000]], "species": ["Al", "P", "Rh", "Rh"], "frac_coords": [[0.000, 0.000, 0.000], [0.250, 0.250, 0.250], [0.500, 0.500, 0.500], [0.750, 0.750, 0.750]]}

***

{"formula": "AlCoN2F", "functional": "GGA-PBEsol", "state": "optimized geometry", "formation_energy_uncorrected_ev_per_atom": 0.186, "space_group": "P4/mmm, No. 123", "dft_energy_ev_per_cell": -29.9, "magmom_total_mub_per_cell": 1.534, "mass_density_g_cm3": 4.41, "cell": [[3.679, 0.000, 0.000], [0.000, 3.679, 0.000], [0.000, 0.000, 3.701]], "species": ["Al", "Co", "N", "N", "F"], "frac_coords": [[0.000, 0.000, 0.000], [0.500, 0.500, 0.500], [0.000, 0.500, 0.500], [0.500, 0.000, 0.500], [0.500, 0.500, 0.000]]}

***

{"formula": "Tb4C5", "functional": "GGA-PBEsol", "state": "optimized geometry", "formation_enthalpy_0k_ev_per_atom": -0.341, "space_group": "Pbam, No. 55", "dft_energy_ev_per_cell": -142.6, "magmom_total_mub_per_cell": 0.000, "mass_density_g_cm3": 8.14, "cell": [[6.534, 0.000, 0.000], [0.000, 11.938, 0.000], [0.000, 0.000, 3.640]], "species": ["Tb", "Tb", "Tb", "Tb", "Tb", "Tb", "Tb", "Tb", "C", "C", "C", "C", "C", "C", "C", "C", "C", "C"], "frac_coords": [[0.108, 0.197, 0.000], [0.246, 0.958, 0.500], [0.254, 0.458, 0.500], [0.392, 0.697, 0.000], [0.608, 0.303, 0.000], [0.746, 0.542, 0.500], [0.754, 0.042, 0.500], [0.892, 0.803, 0.000], [0.000, 0.000, 0.000], [0.096, 0.657, 0.500], [0.139, 0.766, 0.500], [0.361, 0.266, 0.500], [0.404, 0.157, 0.500], [0.500, 0.500, 0.000], [0.596, 0.843, 0.500], [0.639, 0.734, 0.500], [0.861, 0.234, 0.500], [0.904, 0.343, 0.500]]}

***

{"formula": "HgPt2Se", "functional": "GGA-PBEsol", "state": "optimized geometry", "formation_energy_uncorrected_ev_per_atom": 0.031, "space_group": "Pmm2, No. 25", "dft_energy_ev_per_cell": -18.2, "magmom_total_mub_per_cell": 0.000, "mass_density_g_cm3": 15.90, "cell": [[2.847, 0.000, 0.000], [0.000, 4.908, 0.000], [0.000, 0.000, 5.005]], "species": ["Hg", "Pt", "Pt", "Se"], "frac_coords": [[0.000, 0.000, 0.000], [0.500, 0.000, 0.504], [0.500, 0.500, 0.888], [0.500, 0.500, 0.392]]}

***

{"formula": "Mg2Nb2MoO8", "functional": "GGA-PBEsol", "state": "optimized geometry", "formation_energy_uncorrected_ev_per_atom": -2.336, "space_group": "C2/c, No. 15", "dft_energy_ev_per_cell": -218.4, "magmom_total_mub_per_cell": 0.001, "mass_density_g_cm3": 5.35, "cell": [[9.186, -2.967, 0.000], [9.186, 2.967, 0.000], [-0.515, 0.000, 5.224]], "species": ["Mg", "Mg", "Mg", "Mg", "Nb", "Nb", "Nb", "Nb", "Mo", "Mo", "O", "O", "O", "O", "O", "O", "O", "O", "O", "O", "O", "O", "O", "O", "O", "O"], "frac_coords": [[0.084, 0.364, 0.231], [0.364, 0.084, 0.731], [0.636, 0.916, 0.269], [0.916, 0.636, 0.769], [0.251, 0.525, 0.284], [0.475, 0.749, 0.216], [0.525, 0.251, 0.784], [0.749, 0.475, 0.716], [0.169, 0.831, 0.750], [0.831, 0.169, 0.250], [0.037, 0.345, 0.856], [0.043, 0.847, 0.400], [0.153, 0.957, 0.100], [0.215, 0.421, 0.576], [0.283, 0.593, 0.957], [0.345, 0.037, 0.356], [0.407, 0.717, 0.543], [0.421, 0.215, 0.076], [0.579, 0.785, 0.924], [0.593, 0.283, 0.457], [0.655, 0.963, 0.644], [0.717, 0.407, 0.043], [0.785, 0.579, 0.424], [0.847, 0.043, 0.900], [0.957, 0.153, 0.600], [0.963, 0.655, 0.144]]}

***

{"formula": "CrAuSeN2", "functional": "GGA-PBEsol", "state": "optimized geometry", "formation_energy_uncorrected_ev_per_atom": 0.471, "space_group": "P4/mmm, No. 123", "relative_energy_ev_per_atom": 0.000, "dft_energy_ev_per_cell": -32.7, "magmom_total_mub_per_cell": 0.034, "mass_density_g_cm3": 8.43, "cell": [[3.623, 0.000, 0.000], [0.000, 3.623, 0.000], [0.000, 0.000, 5.338]], "species": ["Cr", "Au", "Se", "N", "N"], "frac_coords": [[0.000, 0.000, 0.000], [0.500, 0.500, 0.500], [0.000, 0.000, 0.500], [0.000, 0.500, 0.000], [0.500, 0.000, 0.000]]}

***

{"formula": "KBi", "functional": "GGA-PBEsol", "state": "optimized geometry", "formation_enthalpy_0k_ev_per_atom": -0.351, "space_group": "P2_1/c, No. 14", "dft_energy_ev_per_cell": -97.9, "magmom_total_mub_per_cell": 0.000, "mass_density_g_cm3": 5.21, "cell": [[14.181, 0.000, 0.000], [0.000, 7.280, 0.000], [-5.345, 0.000, 12.245]], "species": ["K", "K", "K", "K", "K", "K", "K", "K", "K", "K", "K", "K", "K", "K", "K", "K", "Bi", "Bi", "Bi", "Bi", "Bi", "Bi", "Bi", "Bi", "Bi", "Bi", "Bi", "Bi", "Bi", "Bi", "Bi", "Bi"], "frac_coords": [[0.102, 0.203, 0.462], [0.102, 0.297, 0.962], [0.156, 0.571, 0.695], [0.156, 0.929, 0.195], [0.344, 0.630, 0.057], [0.344, 0.870, 0.557], [0.384, 0.130, 0.860], [0.384, 0.370, 0.360], [0.616, 0.630, 0.640], [0.616, 0.870, 0.140], [0.656, 0.130, 0.443], [0.656, 0.370, 0.943], [0.844, 0.071, 0.805], [0.844, 0.429, 0.305], [0.898, 0.703, 0.038], [0.898, 0.797, 0.538], [0.078, 0.706, 0.390], [0.078, 0.794, 0.890], [0.111, 0.062, 0.730], [0.111, 0.438, 0.230], [0.385, 0.113, 0.131], [0.385, 0.387, 0.631], [0.430, 0.644, 0.824], [0.430, 0.856, 0.324], [0.570, 0.144, 0.676], [0.570, 0.356, 0.176], [0.615, 0.613, 0.369], [0.615, 0.887, 0.869], [0.889, 0.562, 0.770], [0.889, 0.938, 0.270], [0.922, 0.206, 0.110], [0.922, 0.294, 0.610]]}

***

{"formula": "CsTmP2O7", "functional": "GGA-PBEsol", "state": "optimized geometry", "formation_energy_uncorrected_ev_per_atom": -2.747, "space_group": "P2_1/c, No. 14", "dft_energy_ev_per_cell": -337.5, "magmom_total_mub_per_cell": 0.000, "mass_density_g_cm3": 4.40, "cell": [[7.879, 0.000, 0.000], [0.000, 10.786, 0.000], [-2.235, 0.000, 8.450]], "species": ["Cs", "Cs", "Cs", "Cs", "Tm", "Tm", "Tm", "Tm", "P", "P", "P", "P", "P", "P", "P", "P", "O", "O", "O", "O", "O", "O", "O", "O", "O", "O", "O", "O", "O", "O", "O", "O", "O", "O", "O", "O", "O", "O", "O", "O", "O", "O", "O", "O"], "frac_coords": [[0.194, 0.187, 0.055], [0.194, 0.313, 0.555], [0.806, 0.687, 0.445], [0.806, 0.813, 0.945], [0.237, 0.599, 0.255], [0.237, 0.901, 0.755], [0.763, 0.099, 0.245], [0.763, 0.401, 0.745], [0.131, 0.597, 0.824], [0.131, 0.903, 0.324], [0.426, 0.630, 0.684], [0.426, 0.870, 0.184], [0.574, 0.130, 0.816], [0.574, 0.370, 0.316], [0.869, 0.097, 0.676], [0.869, 0.403, 0.176], [0.000, 0.002, 0.771], [0.000, 0.498, 0.271], [0.000, 0.502, 0.729], [0.000, 0.998, 0.229], [0.085, 0.728, 0.760], [0.085, 0.772, 0.260], [0.152, 0.587, 0.000], [0.152, 0.913, 0.500], [0.320, 0.559, 0.795], [0.320, 0.941, 0.295], [0.325, 0.606, 0.514], [0.325, 0.894, 0.014], [0.392, 0.070, 0.772], [0.392, 0.430, 0.272], [0.438, 0.733, 0.230], [0.438, 0.767, 0.730], [0.562, 0.233, 0.270], [0.562, 0.267, 0.770], [0.608, 0.570, 0.728], [0.608, 0.930, 0.228], [0.675, 0.106, 0.986], [0.675, 0.394, 0.486], [0.680, 0.059, 0.705], [0.680, 0.441, 0.205], [0.848, 0.087, 0.500], [0.848, 0.413, 0.000], [0.915, 0.228, 0.740], [0.915, 0.272, 0.240]]}

***

{"formula": "CaCd2Pb", "functional": "GGA-PBEsol", "state": "optimized geometry", "formation_enthalpy_0k_ev_per_atom": -0.277, "space_group": "I4/mmm, No. 139", "dft_energy_ev_per_cell": -9.6, "magmom_total_mub_per_cell": 0.000, "mass_density_g_cm3": 7.87, "cell": [[-2.291, 2.291, 4.741], [2.291, -2.291, 4.741], [2.291, 2.291, -4.741]], "species": ["Ca", "Cd", "Cd", "Pb"], "frac_coords": [[0.000, 0.000, 0.000], [0.250, 0.750, 0.500], [0.750, 0.250, 0.500], [0.500, 0.500, 0.000]]}

***

{"formula": "MgZrOs", "functional": "GGA-PBEsol", "state": "optimized geometry", "formation_enthalpy_0k_ev_per_atom": -0.043, "space_group": "P3m1, No. 156", "dft_energy_ev_per_cell": -23.2, "magmom_total_mub_per_cell": 0.000, "mass_density_g_cm3": 9.79, "cell": [[4.557, 0.000, 0.000], [-2.279, 3.947, 0.000], [0.000, 0.000, 2.882]], "species": ["Mg", "Zr", "Os"], "frac_coords": [[0.000, 0.000, 0.000], [0.667, 0.333, 0.412], [0.333, 0.667, 0.699]]}